Entry 1:
Material: Er4Tl5Pt2
Method: DFT, PBE-GGA
State: optimized geometry

Lattice parameters (Å, degrees): 7.969 3.605 9.720 90.00 93.75 90.00
Sites, in units of the cell vectors:
Er (0.193, 0.000, 0.345)
Er (0.207, 0.000, 0.929)
Er (0.793, 0.000, 0.071)
Er (0.807, 0.000, 0.655)
Tl (0.150, 0.500, 0.633)
Tl (0.464, 0.500, 0.166)
Tl (0.500, 0.500, 0.500)
Tl (0.536, 0.500, 0.834)
Tl (0.850, 0.500, 0.367)
Pt (0.081, 0.500, 0.136)
Pt (0.919, 0.500, 0.864)

Output
* theoretical density: 12.40 g cm⁻³
* magnetization: 0.0 Bohr magnetons per cell
* SG: P2/m, No. 10
* density of states at the Fermi level: 0.56 states/eV/atom
* VASP energy: -48.93 eV per cell

Entry 2:
Material: SrYAs2Au
Method: DFT, PBE-GGA
State: optimized geometry

Lattice parameters (Å, degrees): 5.253 5.253 7.291 90.00 90.00 90.00
Sites, in units of the cell vectors:
Sr (0.000, 0.000, 0.000)
Y (0.000, 0.000, 0.500)
As (0.000, 0.500, 0.500)
As (0.500, 0.000, 0.500)
Au (0.500, 0.500, 0.000)

Output
* theoretical density: 4.32 g cm⁻³
* magnetization: 0.3 Bohr magnetons per cell
* SG: P4/mmm, No. 123
* density of states at the Fermi level: 0.64 states/eV/atom
* VASP energy: -19.49 eV per cell

Entry 3:
Material: Ga2SbO
Method: DFT, PBE-GGA
State: optimized geometry

Lattice parameters (Å, degrees): 5.310 5.310 11.572 90.00 90.00 90.00
Sites, in units of the cell vectors:
Ga (0.151, 0.250, 0.125)
Ga (0.250, 0.651, 0.375)
Ga (0.250, 0.849, 0.875)
Ga (0.349, 0.250, 0.625)
Ga (0.651, 0.750, 0.625)
Ga (0.750, 0.151, 0.875)
Ga (0.750, 0.349, 0.375)
Ga (0.849, 0.750, 0.125)
Sb (0.000, 0.000, 0.500)
Sb (0.000, 0.500, 0.750)
Sb (0.500, 0.000, 0.250)
Sb (0.500, 0.500, 0.000)
O (0.000, 0.000, 0.000)
O (0.000, 0.500, 0.250)
O (0.500, 0.000, 0.750)
O (0.500, 0.500, 0.500)

Output
* theoretical density: 5.64 g cm⁻³
* magnetization: 0.0 Bohr magnetons per cell
* SG: I-42d, No. 122
* raw formation energy: -10.88 kcal/mol of atoms
* density of states at the Fermi level: 0.42 states/eV/atom
* excess energy over the best structure of this formula in the dataset: 0.0 meV per atom
* VASP energy: -68.09 eV per cell

Entry 4:
Material: Cs2InW2
Method: DFT, PBE-GGA
State: optimized geometry

Lattice parameters (Å, degrees): 4.619 4.619 16.301 90.00 90.00 90.00
Sites, in units of the cell vectors:
Cs (0.000, 0.500, 0.250)
Cs (0.000, 0.500, 0.750)
Cs (0.500, 0.000, 0.250)
Cs (0.500, 0.000, 0.750)
In (0.000, 0.000, 0.000)
In (0.500, 0.500, 0.500)
W (0.000, 0.000, 0.435)
W (0.000, 0.000, 0.565)
W (0.500, 0.500, 0.065)
W (0.500, 0.500, 0.935)

Output
* theoretical density: 7.14 g cm⁻³
* magnetization: 0.0 Bohr magnetons per cell
* SG: I4/mmm, No. 139
* density of states at the Fermi level: 0.84 states/eV/atom
* excess energy over the best structure of this formula in the dataset: 191.0 meV per atom
* VASP energy: -42.24 eV per cell

Entry 5:
Material: HgB2SeO8
Method: DFT, PBE-GGA
State: optimized geometry

Lattice parameters (Å, degrees): 4.527 4.527 7.428 96.36 96.36 65.86
Sites, in units of the cell vectors:
Hg (0.000, 0.000, 0.000)
B (0.333, 0.333, 0.311)
B (0.667, 0.667, 0.689)
Se (0.000, 0.000, 0.500)
O (0.209, 0.698, 0.321)
O (0.232, 0.232, 0.465)
O (0.257, 0.257, 0.124)
O (0.302, 0.791, 0.679)
O (0.698, 0.209, 0.321)
O (0.743, 0.743, 0.876)
O (0.768, 0.768, 0.535)
O (0.791, 0.302, 0.679)

Output
* theoretical density: 5.18 g cm⁻³
* magnetization: 1.0 Bohr magnetons per cell
* SG: C2/m, No. 12
* raw formation energy: -21.35 kcal/mol of atoms
* density of states at the Fermi level: 0.33 states/eV/atom
* VASP energy: -67.92 eV per cell

Entry 6:
Material: LaThTe2
Method: DFT, PBE-GGA
State: optimized geometry

Lattice parameters (Å, degrees): 7.767 7.767 7.767 90.00 90.00 90.00
Sites, in units of the cell vectors:
La (0.000, 0.000, 0.000)
La (0.000, 0.500, 0.500)
La (0.500, 0.000, 0.500)
La (0.500, 0.500, 0.000)
Th (0.000, 0.000, 0.500)
Th (0.000, 0.500, 0.000)
Th (0.500, 0.000, 0.000)
Th (0.500, 0.500, 0.500)
Te (0.250, 0.250, 0.250)
Te (0.250, 0.250, 0.750)
Te (0.250, 0.750, 0.250)
Te (0.250, 0.750, 0.750)
Te (0.750, 0.250, 0.250)
Te (0.750, 0.250, 0.750)
Te (0.750, 0.750, 0.250)
Te (0.750, 0.750, 0.750)

Output
* theoretical density: 8.88 g cm⁻³
* magnetization: 0.0 Bohr magnetons per cell
* SG: Fm-3m, No. 225
* raw formation energy: -29.01 kcal/mol of atoms
* density of states at the Fermi level: 1.09 states/eV/atom
* excess energy over the best structure of this formula in the dataset: 40.0 meV per atom
* VASP energy: -94.65 eV per cell

Entry 7:
Material: CsAlHg2
Method: DFT, PBE-GGA
State: optimized geometry

Lattice parameters (Å, degrees): 4.800 4.800 20.816 90.00 90.00 120.00
Sites, in units of the cell vectors:
Cs (0.000, 0.000, 0.000)
Cs (0.333, 0.667, 0.667)
Cs (0.667, 0.333, 0.333)
Al (0.000, 0.000, 0.500)
Al (0.333, 0.667, 0.167)
Al (0.667, 0.333, 0.833)
Hg (0.000, 0.000, 0.202)
Hg (0.000, 0.000, 0.798)
Hg (0.333, 0.667, 0.464)
Hg (0.333, 0.667, 0.869)
Hg (0.667, 0.333, 0.131)
Hg (0.667, 0.333, 0.536)

Output
* theoretical density: 6.73 g cm⁻³
* magnetization: 0.0 Bohr magnetons per cell
* SG: R-3m, No. 166
* density of states at the Fermi level: 0.65 states/eV/atom
* VASP energy: -16.14 eV per cell

Entry 8:
Material: Pr2DyAgS5
Method: DFT, PBE-GGA
State: optimized geometry

Lattice parameters (Å, degrees): 8.617 8.617 12.130 90.00 90.00 153.05
Sites, in units of the cell vectors:
Pr (0.111, 0.889, 0.500)
Pr (0.126, 0.874, 0.119)
Pr (0.874, 0.126, 0.619)
Pr (0.889, 0.111, 0.000)
Dy (0.196, 0.804, 0.821)
Dy (0.804, 0.196, 0.321)
Ag (0.460, 0.540, 0.280)
Ag (0.540, 0.460, 0.780)
S (0.048, 0.952, 0.896)
S (0.287, 0.713, 0.478)
S (0.306, 0.694, 0.162)
S (0.358, 0.642, 0.815)
S (0.498, 0.502, 0.588)
S (0.502, 0.498, 0.088)
S (0.642, 0.358, 0.315)
S (0.694, 0.306, 0.662)
S (0.713, 0.287, 0.978)
S (0.952, 0.048, 0.396)

Output
* theoretical density: 5.80 g cm⁻³
* magnetization: 0.0 Bohr magnetons per cell
* SG: Cmc2_1, No. 36
* raw formation energy: -39.02 kcal/mol of atoms
* density of states at the Fermi level: 0.01 states/eV/atom
* VASP energy: -105.75 eV per cell